Entry 1:
A plane-wave DFT calculation with GGA-PBE was carried out for crystalline BaPuO2 at its relaxed geometry.

a b c (Å): 3.6212 3.6212 6.8388
angles (deg): 74.65 74.65 60.00
Last column: nearest neighbours and their distance in Å.
Fractional positions:
Ba: 0.4944 0.4944 0.5169  6 O 2.81-3.02
Pu: 0.6683 0.6683 0.9951  6 O 2.42-2.43
O: 0.0651 0.0651 0.8046  3 Pu 2.43
O: 0.2722 0.2722 0.1833  3 Pu 2.42

spin magnetization = 5.673 μB/cell
energy above the lowest structure with this stoichiometry = 11.2 kJ/mol of atoms
D(E_F) = 4.55 states/eV/cell
SG = R3m, No. 160
E_form (uncorrected) = -9.4 eV per formula unit

---

Entry 2:
A plane-wave DFT calculation with GGA-PBE was carried out for crystalline Ba3PuO7 at its relaxed geometry.

a b c (Å): 6.0271 6.0271 6.8590
angles (deg): 68.04 68.04 86.99
Last column: nearest neighbours and their distance in Å.
Fractional positions:
Ba: 0.7746 0.2285 0.4764  1 O 2.46
Ba: 0.5085 0.5085 0.9569  3 O 2.43-2.70
Ba: 0.2285 0.7746 0.4764  1 O 2.46
Pu: 0.0107 0.0107 0.9670  6 O 1.99-2.04
O: 0.1538 0.1538 0.1232  1 Pu 2.02
O: 0.6920 0.0525 0.1785  1 Pu 2.00
O: 0.9810 0.3248 0.7445  1 Pu 1.99
O: 0.0525 0.6920 0.1785  1 Pu 2.00
O: 0.5395 0.5395 0.5843  3 Ba 2.43-2.46
O: 0.3248 0.9810 0.7445  1 Pu 1.99
O: 0.8591 0.8591 0.8197  1 Pu 2.04

spin magnetization = 0.762 μB/cell
D(E_F) = 7.05 states/eV/cell
SG = Cm, No. 8
E_form (uncorrected) = -27.3 eV per formula unit

---

Entry 3:
A plane-wave DFT calculation with GGA-PBE was carried out for crystalline Ba2PuO4 at its relaxed geometry.

a b c (Å): 3.6787 6.5131 10.9488
angles (deg): 90.00 90.00 90.00
Last column: nearest neighbours and their distance in Å.
Fractional positions:
Ba: 0.5000 0.9387 0.8227  6 O 2.71-2.87
Ba: 0.5000 0.0613 0.1773  6 O 2.71-2.87
Ba: 0.5000 0.4387 0.6773  6 O 2.71-2.87
Ba: 0.5000 0.5613 0.3227  6 O 2.71-2.87
Pu: 0.0000 0.0000 0.5000  6 O 2.16-2.34
Pu: 0.0000 0.5000 0.0000  6 O 2.16-2.34
O: 0.0000 0.6323 0.8187  1 Pu 2.16
O: 0.0000 0.3677 0.1813  1 Pu 2.16
O: 0.0000 0.1323 0.6813  1 Pu 2.16
O: 0.0000 0.8677 0.3187  1 Pu 2.16
O: 0.5000 0.7923 0.5460  2 Pu 2.34
O: 0.5000 0.2077 0.4540  2 Pu 2.34
O: 0.5000 0.7077 0.0460  2 Pu 2.34
O: 0.5000 0.2923 0.9540  2 Pu 2.34

spin magnetization = 8.000 μB/cell
D(E_F) = 12.34 states/eV/cell
SG = Pbam, No. 55
E_form (uncorrected) = -19.8 eV per formula unit